[1]
# LaFe2C3 PBE optimized geometry
data_LaFe2C3
_cell_length_a 6.565
_cell_length_b 9.480
_cell_length_c 4.851
_cell_angle_alpha 90.00
_cell_angle_beta 90.00
_cell_angle_gamma 90.00
_space_group_name_H-M_alt 'C m c m'
_space_group_IT_number 63
_space_group_name_Hall '-C 2c 2'
loop_
_atom_site_label
_atom_site_type_symbol
_atom_site_fract_x
_atom_site_fract_y
_atom_site_fract_z
La1 La 0.000 0.214 0.250
Fe1 Fe 0.189 0.500 0.000
C1 C 0.000 0.421 0.750
C2 C 0.105 0.066 0.750
# D(E_F) = 0.68 states/eV per atom
# Total moment = 2.3 Bohr magnetons per cell
# Energy relative to the elements = -0.53 eV per formula unit

***

[2]
# La4Tb4Pm3 PBE optimized geometry
data_La4Tb4Pm3
_cell_length_a 3.583
_cell_length_b 11.564
_cell_length_c 18.785
_cell_angle_alpha 90.00
_cell_angle_beta 90.00
_cell_angle_gamma 90.00
_space_group_name_H-M_alt 'I m m m'
_space_group_IT_number 71
_space_group_name_Hall '-I 2 2'
loop_
_atom_site_label
_atom_site_type_symbol
_atom_site_fract_x
_atom_site_fract_y
_atom_site_fract_z
La1 La 0.000 0.000 0.208
La2 La 0.000 0.222 0.500
Tb1 Tb 0.000 0.245 0.326
Pm1 Pm 0.000 0.000 0.000
Pm2 Pm 0.000 0.500 0.107
# Energy above the most stable polymorph in this dataset = 0.0396 eV/atom
# D(E_F) = 1.53 states/eV per atom
# Total moment = 0.0 Bohr magnetons per cell
# Energy relative to the elements = 1.79 eV per formula unit

***

[3]
# TcP3 PBE optimized geometry
data_TcP3
_cell_length_a 3.009
_cell_length_b 4.637
_cell_length_c 8.471
_cell_angle_alpha 90.00
_cell_angle_beta 90.00
_cell_angle_gamma 90.00
_space_group_name_H-M_alt 'C m m m'
_space_group_IT_number 65
_space_group_name_Hall '-C 2 2'
loop_
_atom_site_label
_atom_site_type_symbol
_atom_site_fract_x
_atom_site_fract_y
_atom_site_fract_z
Tc1 Tc 0.000 0.000 0.000
P1 P 0.000 0.000 0.500
P2 P 0.000 0.500 0.225
# Energy above the most stable polymorph in this dataset = 0.9092 eV/atom
# D(E_F) = 0.56 states/eV per atom
# Total moment = 0.0 Bohr magnetons per cell
# Energy relative to the elements = 1.86 eV per formula unit

***

[4]
# RbErPbBr6 PBE optimized geometry
data_RbErPbBr6
_cell_length_a 7.6441
_cell_length_b 7.6441
_cell_length_c 7.4789
_cell_angle_alpha 90.00
_cell_angle_beta 90.00
_cell_angle_gamma 120.00
_space_group_name_H-M_alt 'P 3 1 2'
_space_group_IT_number 149
_space_group_name_Hall 'P 3 2'
loop_
_atom_site_label
_atom_site_type_symbol
_atom_site_fract_x
_atom_site_fract_y
_atom_site_fract_z
Rb1 Rb 0.0000 0.0000 0.0000
Er1 Er 0.6667 0.3333 0.5000
Pb1 Pb 0.3333 0.6667 0.5000
Br1 Br 0.3827 0.0256 0.7191
# ΔE_f (raw) = -1.56 eV/atom
# D(E_F) = 0.00 states/eV per atom
# Total moment = 0.0 Bohr magnetons per cell

***

[5]
# Y6TlIn2 PBE optimized geometry
data_Y6TlIn2
_cell_length_a 6.158
_cell_length_b 9.042
_cell_length_c 11.025
_cell_angle_alpha 90.00
_cell_angle_beta 118.20
_cell_angle_gamma 90.00
_space_group_name_H-M_alt 'P 1 21/c 1'
_space_group_IT_number 14
_space_group_name_Hall '-P 2ybc'
loop_
_atom_site_label
_atom_site_type_symbol
_atom_site_fract_x
_atom_site_fract_y
_atom_site_fract_z
Y1 Y 0.036 0.165 0.435
Y2 Y 0.369 0.680 0.438
Y3 Y 0.410 0.029 0.305
Tl1 Tl 0.000 0.000 0.000
In1 In 0.174 0.129 0.752
# D(E_F) = 1.17 states/eV per atom
# Total moment = 0.0 Bohr magnetons per cell
# Energy relative to the elements = -2.17 eV per formula unit

***

[6]
# Cs2TaAg PBE optimized geometry
data_Cs2TaAg
_cell_length_a 8.931
_cell_length_b 8.931
_cell_length_c 8.931
_cell_angle_alpha 90.00
_cell_angle_beta 90.00
_cell_angle_gamma 90.00
_space_group_name_H-M_alt 'F m -3 m'
_space_group_IT_number 225
_space_group_name_Hall '-F 4 2 3'
loop_
_atom_site_label
_atom_site_type_symbol
_atom_site_fract_x
_atom_site_fract_y
_atom_site_fract_z
Cs1 Cs 0.250 0.250 0.250
Ta1 Ta 0.000 0.000 0.000
Ag1 Ag 0.000 0.000 0.500
# D(E_F) = 1.54 states/eV per atom
# Total moment = 16.2 Bohr magnetons per cell
# Energy relative to the elements = 6.15 eV per formula unit

***

[7]
# CeY2Ag PBE optimized geometry
data_CeY2Ag
_cell_length_a 3.5133
_cell_length_b 3.5133
_cell_length_c 31.5094
_cell_angle_alpha 90.00
_cell_angle_beta 90.00
_cell_angle_gamma 120.00
_space_group_name_H-M_alt 'R -3 m'
_space_group_IT_number 166
_space_group_name_Hall '-R 3 2"'
loop_
_atom_site_label
_atom_site_type_symbol
_atom_site_fract_x
_atom_site_fract_y
_atom_site_fract_z
Ce1 Ce 0.0000 0.0000 0.0000
Y1 Y 0.0000 0.0000 0.2424
Ag1 Ag 0.0000 0.0000 0.5000
# Energy above the most stable polymorph in this dataset = 0.1124 eV/atom
# D(E_F) = 1.68 states/eV per atom
# Total moment = 1.9 Bohr magnetons per cell
# Energy relative to the elements = 0.09 eV per formula unit

***

[8]
# Cd2In2HgPb4 PBE optimized geometry
data_Cd2In2HgPb4
_cell_length_a 5.824
_cell_length_b 6.097
_cell_length_c 7.652
_cell_angle_alpha 77.26
_cell_angle_beta 86.56
_cell_angle_gamma 82.67
_space_group_name_H-M_alt 'P -1'
_space_group_IT_number 2
_space_group_name_Hall '-P 1'
loop_
_atom_site_label
_atom_site_type_symbol
_atom_site_fract_x
_atom_site_fract_y
_atom_site_fract_z
Cd1 Cd 0.221 0.211 0.257
In1 In 0.299 0.055 0.666
Hg1 Hg 0.000 0.000 0.000
Pb1 Pb 0.234 0.657 0.406
Pb2 Pb 0.284 0.501 0.856
# D(E_F) = 0.32 states/eV per atom
# Total moment = 0.0 Bohr magnetons per cell
# Energy relative to the elements = 0.43 eV per formula unit

***

[9]
# ZrIrRu2 PBE optimized geometry
data_ZrIrRu2
_cell_length_a 9.333
_cell_length_b 2.869
_cell_length_c 4.812
_cell_angle_alpha 90.00
_cell_angle_beta 100.73
_cell_angle_gamma 90.00
_space_group_name_H-M_alt 'C 1 m 1'
_space_group_IT_number 8
_space_group_name_Hall 'C -2y'
loop_
_atom_site_label
_atom_site_type_symbol
_atom_site_fract_x
_atom_site_fract_y
_atom_site_fract_z
Zr1 Zr 0.000 0.000 0.000
Ir1 Ir 0.256 0.500 0.261
Ru1 Ru 0.000 0.500 0.508
Ru2 Ru 0.241 0.000 0.717
# Energy above the most stable polymorph in this dataset = 0.1328 eV/atom
# D(E_F) = 0.79 states/eV per atom
# Total moment = 0.0 Bohr magnetons per cell
# Energy relative to the elements = -0.86 eV per formula unit

***

[10]
# Y2MgCl PBE optimized geometry
data_Y2MgCl
_cell_length_a 3.393
_cell_length_b 3.393
_cell_length_c 8.836
_cell_angle_alpha 90.00
_cell_angle_beta 90.00
_cell_angle_gamma 90.00
_space_group_name_H-M_alt 'P 4/m m m'
_space_group_IT_number 123
_space_group_name_Hall '-P 4 2'
loop_
_atom_site_label
_atom_site_type_symbol
_atom_site_fract_x
_atom_site_fract_y
_atom_site_fract_z
Y1 Y 0.000 0.000 0.245
Mg1 Mg 0.500 0.500 0.500
Cl1 Cl 0.500 0.500 0.000
# ΔE_f (raw) = -0.50 eV/atom
# Energy above the most stable polymorph in this dataset = 0.1500 eV/atom
# D(E_F) = 1.05 states/eV per atom
# Total moment = 0.0 Bohr magnetons per cell

***

[11]
# SrAc2PtO8 PBE optimized geometry
data_SrAc2PtO8
_cell_length_a 5.5952
_cell_length_b 5.5952
_cell_length_c 6.9829
_cell_angle_alpha 90.00
_cell_angle_beta 90.00
_cell_angle_gamma 120.00
_space_group_name_H-M_alt 'P -3 m 1'
_space_group_IT_number 164
_space_group_name_Hall '-P 3 2"'
loop_
_atom_site_label
_atom_site_type_symbol
_atom_site_fract_x
_atom_site_fract_y
_atom_site_fract_z
Sr1 Sr 0.0000 0.0000 0.0000
Ac1 Ac 0.3333 0.6667 0.3543
Pt1 Pt 0.0000 0.0000 0.5000
O1 O 0.1652 0.3304 0.6633
O2 O 0.3333 0.6667 0.0401
# ΔE_f (raw) = -1.71 eV/atom
# D(E_F) = 0.49 states/eV per atom
# Total moment = 4.1 Bohr magnetons per cell

***

[12]
# K3Na2Cd9 PBE optimized geometry
data_K3Na2Cd9
_cell_length_a 5.247
_cell_length_b 10.328
_cell_length_c 15.696
_cell_angle_alpha 90.00
_cell_angle_beta 90.00
_cell_angle_gamma 90.00
_space_group_name_H-M_alt 'I m m m'
_space_group_IT_number 71
_space_group_name_Hall '-I 2 2'
loop_
_atom_site_label
_atom_site_type_symbol
_atom_site_fract_x
_atom_site_fract_y
_atom_site_fract_z
K1 K 0.000 0.000 0.000
K2 K 0.000 0.000 0.291
Na1 Na 0.000 0.192 0.500
Cd1 Cd 0.000 0.292 0.136
Cd2 Cd 0.000 0.353 0.327
Cd3 Cd 0.000 0.500 0.000
# D(E_F) = 0.50 states/eV per atom
# Total moment = 0.0 Bohr magnetons per cell
# Energy relative to the elements = -1.21 eV per formula unit